(1)
# ZnSiMo2

A relaxed ZnSiMo2 crystal (GGA-PBE, the Alexandria database).

POSCAR file:
```
ZnSiMo2
1.0
-1.945 1.945 3.860
1.945 -1.945 3.860
1.945 1.945 -3.860
Zn Si Mo
1 1 2
Direct
0.000 0.000 0.000
0.750 0.250 0.500
0.250 0.750 0.500
0.500 0.500 0.000
```

## Properties
* VASP energy: -7.049 eV/atom
* magnetization: 0.0 μB per formula unit
* symmetry: No. 119
* uncorrected formation energy: 41 meV/atom

=====

(2)
# CrFe2Br8

A relaxed CrFe2Br8 crystal (GGA-PBE, the Alexandria database).

POSCAR file:
```
CrFe2Br8
1.0
7.082 -4.293 0.000
7.082 4.293 0.000
-0.087 0.000 6.309
Cr Fe Br
1 2 8
Direct
0.000 0.000 0.000
0.161 0.161 0.397
0.839 0.839 0.603
0.138 0.716 0.771
0.152 0.152 0.780
0.284 0.862 0.229
0.319 0.319 0.320
0.681 0.681 0.680
0.716 0.138 0.771
0.848 0.848 0.220
0.862 0.284 0.229
```

## Properties
* VASP energy: -4.173 eV/atom
* magnetization: 12.0 μB per formula unit
* symmetry: No. 12
* uncorrected formation energy: -543 meV/atom

=====

(3)
# Hf2Ga4Cu3

A relaxed Hf2Ga4Cu3 crystal (GGA-PBE, the Alexandria database).

POSCAR file:
```
Hf2Ga4Cu3
1.0
2.694 -7.197 0.000
2.694 7.197 0.000
0.000 0.000 7.230
Hf Ga Cu
4 8 6
Direct
0.102 0.898 0.897
0.398 0.602 0.397
0.602 0.398 0.603
0.898 0.102 0.103
0.176 0.824 0.521
0.187 0.313 0.750
0.313 0.187 0.250
0.324 0.676 0.021
0.676 0.324 0.979
0.687 0.813 0.750
0.813 0.687 0.250
0.824 0.176 0.479
0.000 0.000 0.500
0.014 0.486 0.750
0.486 0.014 0.250
0.500 0.500 0.000
0.514 0.986 0.750
0.986 0.514 0.250
```

## Properties
* VASP energy: -5.245 eV/atom
* magnetization: 0.0 μB per formula unit
* symmetry: No. 64
* ΔH_f (0 K): -0.322 eV/atom

=====

(4)
# Cs2BiF

A relaxed Cs2BiF crystal (GGA-PBE, the Alexandria database).

POSCAR file:
```
Cs2BiF
1.0
-4.442 4.442 4.949
4.442 -4.442 4.949
4.442 4.442 -4.949
Cs Bi F
4 2 2
Direct
0.016 0.125 0.391
0.375 0.984 0.109
0.734 0.625 0.609
0.875 0.266 0.891
0.250 0.750 0.500
0.500 0.500 0.000
0.000 0.000 0.000
0.750 0.250 0.500
```

## Properties
* VASP energy: -3.027 eV/atom
* magnetization: 2.1 μB per formula unit
* symmetry: No. 122
* uncorrected formation energy: -1162 meV/atom

=====

(5)
# Sr2MnAs

A relaxed Sr2MnAs crystal (GGA-PBE, the Alexandria database).

POSCAR file:
```
Sr2MnAs
1.0
5.219 0.000 0.000
0.000 5.219 0.000
0.000 0.000 4.214
Sr Mn As
2 1 1
Direct
0.000 0.500 0.000
0.500 0.000 0.000
0.000 0.000 0.500
0.500 0.500 0.500
```

## Properties
* VASP energy: -4.453 eV/atom
* magnetization: 4.5 μB per formula unit
* symmetry: No. 123
* ΔH_f (0 K): -0.158 eV/atom

=====

(6)
# PmHo2Sc

A relaxed PmHo2Sc crystal (GGA-PBE, the Alexandria database).

POSCAR file:
```
PmHo2Sc
1.0
1.752 1.011 11.326
-1.752 1.011 11.326
0.000 -2.023 11.326
Pm Ho Sc
1 2 1
Direct
0.000 0.000 0.000
0.246 0.246 0.246
0.754 0.754 0.754
0.500 0.500 0.500
```

## Properties
* VASP energy: -5.012 eV/atom
* magnetization: 0.0 μB per formula unit
* symmetry: No. 166
* ΔH_f (0 K): 0.047 eV/atom